# NdYBr | Alexandria | PBE-GGA | optimized geometry
data_NdYBr
_cell_length_a 3.6837
_cell_length_b 3.6837
_cell_length_c 15.0509
_cell_angle_alpha 90.00
_cell_angle_beta 90.00
_cell_angle_gamma 120.00
_space_group_name_H-M_alt 'P 1'
_space_group_IT_number 1
loop_
_space_group_symop_operation_xyz
'x,y,z'
loop_
_atom_site_label
_atom_site_fract_x
_atom_site_fract_y
_atom_site_fract_z
Nd1 0.0000 0.0000 0.0000
Nd2 0.3333 0.6667 0.5000
Y1 0.0000 0.0000 0.3062
Y2 0.0000 0.0000 0.6938
Br1 0.3333 0.6667 0.1555
Br2 0.3333 0.6667 0.8445
# ΔE_f (raw) ... -0.737 eV per atom
# E_tot ... -5.0384 eV per atom
# V ... 177 Å³/cell
# Calculated density ... 5.9 Mg/m³
# Total magnetization ... 0.94 Bohr magnetons per cell
# Space group ... P-6m2 (187)